Entry 1:
Here is a relaxed Cs3TlPd crystal from Alexandria. Energies are from GGA-PBE.

abc: 6.6842 6.6842 6.6842
angles: 90.00 90.00 90.00
Last column: nearest neighbours and their distance in Å.
Element x y z (fractional)
Cs 0.0000 0.5000 0.0000  2 Pd 3.34
Cs 0.5000 0.0000 0.0000  2 Pd 3.34
Cs 0.0000 0.0000 0.5000  2 Pd 3.34
Tl 0.5000 0.5000 0.5000  12 Cs 4.73
Pd 0.0000 0.0000 0.0000  6 Cs 3.34

Results
The formation energy is 0.19 eV per atom. The calculation puts the calculated volume at 298.64 Å³ per cell.



Entry 2:
Here is a relaxed GePWCl2 crystal from Alexandria. Energies are from GGA-PBE.

abc: 4.7620 4.7620 4.8493
angles: 90.00 90.00 90.00
Last column: nearest neighbours and their distance in Å.
Element x y z (fractional)
W 0.0000 0.0000 0.0000  4 Cl 2.38, 2 P 2.42
Cl 0.0000 0.5000 0.0000  2 W 2.38
Ge 0.5000 0.5000 0.5000  4 P 3.37, 8 Cl 3.40
Cl 0.5000 0.0000 0.0000  2 W 2.38
P 0.0000 0.0000 0.5000  2 W 2.42

Results
For the formation energy without anion corrections, the calculation gives 0.459 eV/atom. The calculation puts the calculated volume at 109.97 Å³ per cell. For the energy relative to the lowest polymorph listed for this composition, the calculation gives 0.0 meV/atom.